No. 1
Density functional theory data (PBE) for Ac3Si2Pd9 after structural relaxation.

It has space group P6_3/mmc (No. 194), with a = 6.3564 Å, b = 6.3564 Å, c = 16.1118 Å, α = 90.00°, β = 90.00° and γ = 120.00°. The asymmetric unit holds Ac at (0.0000, 0.0000, 0.2500), Ac at (0.3333, 0.6667, 0.0768), Si at (0.3333, 0.6667, 0.6565), Pd at (0.0273, 0.5137, 0.2500) and Pd at (0.1493, 0.2986, 0.5750).

The density of states at the Fermi level is 14.30 states/eV per cell. Its energy relative to the lowest polymorph listed for this composition is 0.00 eV/f.u. The calculation puts the spin magnetization at 0.00 μB per cell. The crystal system is hexagonal. Its uncorrected energy is -162.189 eV/cell. The value obtained for the formation energy without anion corrections is -77.1 kJ/mol of atoms.

---

No. 2
Density functional theory data (PBE) for RbGaH after structural relaxation.

It has space group P1 (No. 1), with a = 4.505 Å, b = 4.506 Å, c = 10.617 Å, α = 88.09°, β = 89.05° and γ = 60.07°. The asymmetric unit holds Rb at (0.000, 0.000, 0.000), Rb at (0.334, 0.376, 0.464), Ga at (0.000, 0.025, 0.686), Ga at (0.667, 0.688, 0.737), H at (0.000, 0.038, 0.526) and H at (0.667, 0.674, 0.898).

The density of states at the Fermi level is 1.64 states/eV per cell. Its energy relative to the lowest polymorph listed for this composition is 0.11 eV/f.u. The calculation puts the spin magnetization at 0.00 μB per cell. The crystal system is triclinic. Its uncorrected energy is -15.432 eV/cell.

---

No. 3
Density functional theory data (PBE) for YScCdNi after structural relaxation.

It has space group P4mm (No. 99), with a = 3.353 Å, b = 3.353 Å, c = 7.422 Å, α = 90.00°, β = 90.00° and γ = 90.00°. The asymmetric unit holds Y at (0.000, 0.000, 0.000), Sc at (0.000, 0.000, 0.575), Cd at (0.500, 0.500, 0.309) and Ni at (0.500, 0.500, 0.755).

The calculated formation energy comes out at -0.3788 eV per atom. The density of states at the Fermi level is 2.90 states/eV per cell. Its energy relative to the lowest polymorph listed for this composition is 0.00 eV/f.u. The calculation puts the spin magnetization at 0.00 μB per cell. The crystal system is tetragonal. Its uncorrected energy is -21.007 eV/cell.

---

No. 4
Density functional theory data (PBE) for BeAg2Te after structural relaxation.

It has space group R3m (No. 160, hexagonal axes), with a = 3.8396 Å, b = 3.8396 Å, c = 19.3461 Å, α = 90.00°, β = 90.00° and γ = 120.00°. The asymmetric unit holds Be at (0.0000, 0.0000, 0.0000), Ag at (0.0000, 0.0000, 0.4946), Ag at (0.0000, 0.0000, 0.7389) and Te at (0.0000, 0.0000, 0.2787).

The density of states at the Fermi level is 6.17 states/eV per cell. Its energy relative to the lowest polymorph listed for this composition is 0.42 eV/f.u. The calculation puts the spin magnetization at 0.00 μB per cell. The crystal system is trigonal. Its uncorrected energy is -34.790 eV/cell. The value obtained for the formation energy without anion corrections is 23.5 kJ/mol of atoms.

---

No. 5
Density functional theory data (PBE) for KHgSb2Pt after structural relaxation.

It has space group P4/mmm (No. 123), with a = 5.578 Å, b = 5.578 Å, c = 5.246 Å, α = 90.00°, β = 90.00° and γ = 90.00°. The asymmetric unit holds K at (0.000, 0.000, 0.000), Hg at (0.500, 0.500, 0.500), Sb at (0.000, 0.500, 0.500) and Pt at (0.500, 0.500, 0.000).

The density of states at the Fermi level is 3.37 states/eV per cell. The calculation puts the spin magnetization at 0.00 μB per cell. The crystal system is tetragonal. Its uncorrected energy is -13.390 eV/cell. The value obtained for the formation energy without anion corrections is 44.3 kJ/mol of atoms.

---

No. 6
Density functional theory data (PBE) for Li12Mg3Zn after structural relaxation.

It has space group P4/mmm (No. 123), with a = 4.303 Å, b = 4.303 Å, c = 16.633 Å, α = 90.00°, β = 90.00° and γ = 90.00°. The asymmetric unit holds Li at (0.000, 0.000, 0.000), Li at (0.000, 0.000, 0.237), Li at (0.000, 0.000, 0.500), Li at (0.000, 0.500, 0.108), Li at (0.000, 0.500, 0.368), Mg at (0.500, 0.500, 0.237), Mg at (0.500, 0.500, 0.500) and Zn at (0.500, 0.500, 0.000).

The calculated formation energy comes out at -0.0407 eV per atom. The density of states at the Fermi level is 6.48 states/eV per cell. The calculation puts the spin magnetization at 0.00 μB per cell. The crystal system is tetragonal. Its uncorrected energy is -29.674 eV/cell.

---

No. 7
Density functional theory data (PBE) for Tm2TiCu after structural relaxation.

It has space group P4/mmm (No. 123), with a = 3.307 Å, b = 3.307 Å, c = 7.875 Å, α = 90.00°, β = 90.00° and γ = 90.00°. The asymmetric unit holds Tm at (0.000, 0.000, 0.230), Ti at (0.500, 0.500, 0.500) and Cu at (0.500, 0.500, 0.000).

The calculated formation energy comes out at -0.0259 eV per atom. The density of states at the Fermi level is 3.33 states/eV per cell. Its energy relative to the lowest polymorph listed for this composition is 0.00 eV/f.u. The calculation puts the spin magnetization at 0.00 μB per cell. The crystal system is tetragonal. Its uncorrected energy is -21.038 eV/cell.

---

No. 8
Density functional theory data (PBE) for Sr3LaPm2Te6 after structural relaxation.

It has space group C2/m (No. 12), with a = 7.917 Å, b = 13.698 Å, c = 8.105 Å, α = 90.00°, β = 109.01° and γ = 90.00°. The asymmetric unit holds Sr at (0.000, 0.000, 0.000), Sr at (0.000, 0.335, 0.000), La at (0.000, 0.500, 0.500), Pm at (0.000, 0.167, 0.500), Te at (0.243, 0.000, 0.740) and Te at (0.249, 0.331, 0.741).

The density of states at the Fermi level is 11.42 states/eV per cell. The calculation puts the spin magnetization at 0.00 μB per cell. The crystal system is monoclinic. Its uncorrected energy is -114.441 eV/cell. The value obtained for the formation energy without anion corrections is -151.9 kJ/mol of atoms.

---

No. 9
Density functional theory data (PBE) for Re3Mo after structural relaxation.

It has space group P-6m2 (No. 187), with a = 2.7787 Å, b = 2.7787 Å, c = 9.1145 Å, α = 90.00°, β = 90.00° and γ = 120.00°. The asymmetric unit holds Re at (0.0000, 0.0000, 0.0000), Re at (0.3333, 0.6667, 0.2445) and Mo at (0.0000, 0.0000, 0.5000).

The calculated formation energy comes out at 0.1180 eV per atom. The density of states at the Fermi level is 4.73 states/eV per cell. Its energy relative to the lowest polymorph listed for this composition is 0.12 eV/f.u. The calculation puts the spin magnetization at 0.00 μB per cell. The crystal system is hexagonal. Its uncorrected energy is -47.704 eV/cell.

---

No. 10
Density functional theory data (PBE) for Ac3Ga4 after structural relaxation.

It has space group Immm (No. 71), with a = 4.379 Å, b = 4.706 Å, c = 19.708 Å, α = 90.00°, β = 90.00° and γ = 90.00°. The asymmetric unit holds Ac at (0.000, 0.000, 0.000), Ac at (0.000, 0.500, 0.316), Ga at (0.000, 0.000, 0.435) and Ga at (0.000, 0.500, 0.137).

The calculated formation energy comes out at -0.5744 eV per atom. The density of states at the Fermi level is 9.95 states/eV per cell. Its energy relative to the lowest polymorph listed for this composition is 0.00 eV/f.u. The calculation puts the spin magnetization at 0.00 μB per cell. The crystal system is orthorhombic. Its uncorrected energy is -56.908 eV/cell.

---

No. 11
Density functional theory data (PBE) for BaDyY after structural relaxation.

It has space group I4mm (No. 107), with a = 3.783 Å, b = 3.783 Å, c = 16.406 Å, α = 90.00°, β = 90.00° and γ = 90.00°. The asymmetric unit holds Ba at (0.000, 0.000, 0.000), Dy at (0.000, 0.000, 0.319) and Y at (0.000, 0.000, 0.683).

The calculated formation energy comes out at 0.1898 eV per atom. The density of states at the Fermi level is 11.38 states/eV per cell. The calculation puts the spin magnetization at 0.00 μB per cell. The crystal system is tetragonal. Its uncorrected energy is -24.839 eV/cell.

---

No. 12
Density functional theory data (PBE) for Te2Pd13 after structural relaxation.

It has space group P-1 (No. 2), with a = 6.294 Å, b = 6.355 Å, c = 7.000 Å, α = 68.10°, β = 70.02° and γ = 84.08°. The asymmetric unit holds Te at (0.160, 0.462, 0.264), Pd at (0.000, 0.000, 0.500), Pd at (0.067, 0.740, 0.898), Pd at (0.197, 0.206, 0.693), Pd at (0.267, 0.935, 0.098), Pd at (0.331, 0.667, 0.498), Pd at (0.400, 0.397, 0.891) and Pd at (0.469, 0.128, 0.300).

The density of states at the Fermi level is 15.88 states/eV per cell. The calculation puts the spin magnetization at 0.00 μB per cell. The crystal system is triclinic. Its uncorrected energy is -76.069 eV/cell. The value obtained for the formation energy without anion corrections is -14.7 kJ/mol of atoms.